[1]
This record from Alexandria describes crystalline Rb2Tl2As at its relaxed geometry. The functional is PBE-GGA.

Structure (POSCAR):
```
Rb2Tl2As
1.0
6.431 -3.853 0.000
6.431 3.853 0.000
-2.684 0.000 7.770
Rb Tl As
4 4 2
Direct
0.089 0.238 0.134 Rb
0.238 0.089 0.634 Rb
0.762 0.911 0.366 Rb
0.911 0.762 0.866 Rb
0.291 0.522 0.547 Tl
0.478 0.709 0.953 Tl
0.522 0.291 0.047 Tl
0.709 0.478 0.453 Tl
0.297 0.703 0.250 As
0.703 0.297 0.750 As
```

Output
Energy above the most stable polymorph in this dataset in meV per atom: 0
Crystal system: monoclinic



[2]
This record from Alexandria describes crystalline Cs2RbPuCl8 at its relaxed geometry. The functional is PBE-GGA.

Structure (POSCAR):
```
Cs2RbPuCl8
1.0
6.246 0.000 0.000
0.000 10.638 0.000
-1.407 0.000 7.331
Cs Rb Pu Cl
2 1 1 8
Direct
0.000 0.248 0.000 Cs
0.000 0.752 0.000 Cs
0.500 0.500 0.500 Rb
0.500 0.000 0.500 Pu
0.014 0.500 0.722 Cl
0.116 0.000 0.310 Cl
0.415 0.177 0.713 Cl
0.415 0.823 0.713 Cl
0.585 0.177 0.287 Cl
0.585 0.823 0.287 Cl
0.884 0.000 0.690 Cl
0.986 0.500 0.278 Cl
```

Output
E_form (uncorrected) in eV/atom: -1.68
Crystal system: monoclinic



[3]
This record from Alexandria describes crystalline KNi2Ru at its relaxed geometry. The functional is PBE-GGA.

Structure (POSCAR):
```
KNi2Ru
1.0
1.370 0.791 9.552
-1.370 0.791 9.552
0.000 -1.582 9.552
K Ni Ru
1 2 1
Direct
0.000 0.000 0.000 K
0.237 0.237 0.237 Ni
0.763 0.763 0.763 Ni
0.500 0.500 0.500 Ru
```

Output
Energy above the most stable polymorph in this dataset in meV per atom: 229
Crystal system: trigonal



[4]
This record from Alexandria describes crystalline Pr2CoBr at its relaxed geometry. The functional is PBE-GGA.

Structure (POSCAR):
```
Pr2CoBr
1.0
4.016 0.000 0.000
-2.008 3.478 0.000
0.000 0.000 15.777
Pr Co Br
4 2 2
Direct
0.333 0.667 0.097 Pr
0.333 0.667 0.403 Pr
0.667 0.333 0.597 Pr
0.667 0.333 0.903 Pr
0.000 0.000 0.000 Co
0.000 0.000 0.500 Co
0.333 0.667 0.750 Br
0.667 0.333 0.250 Br
```

Output
E_form (uncorrected) in eV/atom: -0.72
Energy above the most stable polymorph in this dataset in meV per atom: 0
Crystal system: hexagonal



[5]
This record from Alexandria describes crystalline YCo2Br at its relaxed geometry. The functional is PBE-GGA.

Structure (POSCAR):
```
YCo2Br
1.0
3.392 0.000 0.000
0.000 4.424 0.000
0.000 0.000 4.757
Y Co Br
1 2 1
Direct
0.000 0.000 0.000 Y
0.000 0.500 0.500 Co
0.500 0.000 0.500 Co
0.500 0.500 0.000 Br
```

Output
E_form (uncorrected) in eV/atom: 0.26
Energy above the most stable polymorph in this dataset in meV per atom: 557
Crystal system: orthorhombic



[6]
This record from Alexandria describes crystalline SrHoAs2 at its relaxed geometry. The functional is PBE-GGA.

Structure (POSCAR):
```
SrHoAs2
1.0
2.175 1.256 7.005
-2.175 1.256 7.005
0.000 -2.512 7.005
Sr Ho As
1 1 2
Direct
0.000 0.000 0.000 Sr
0.827 0.827 0.827 Ho
0.424 0.424 0.424 As
0.568 0.568 0.568 As
```

Output
Energy above the most stable polymorph in this dataset in meV per atom: 100
Crystal system: trigonal



[7]
This record from Alexandria describes crystalline DyErPt4 at its relaxed geometry. The functional is PBE-GGA.

Structure (POSCAR):
```
DyErPt4
1.0
0.000 3.837 3.837
3.837 0.000 3.837
3.837 3.837 0.000
Dy Er Pt
1 1 4
Direct
0.000 0.000 0.000 Dy
0.250 0.250 0.250 Er
0.125 0.625 0.625 Pt
0.625 0.125 0.625 Pt
0.625 0.625 0.125 Pt
0.625 0.625 0.625 Pt
```

Output
Total energy in eV per atom: -6.6810
Crystal system: cubic



[8]
This record from Alexandria describes crystalline BaCuIr2 at its relaxed geometry. The functional is PBE-GGA.

Structure (POSCAR):
```
BaCuIr2
1.0
3.034 0.000 0.000
0.000 4.908 0.000
0.000 0.000 5.112
Ba Cu Ir
1 1 2
Direct
0.000 0.000 0.000 Ba
0.500 0.500 0.000 Cu
0.000 0.500 0.500 Ir
0.500 0.000 0.500 Ir
```

Output
Energy above the most stable polymorph in this dataset in meV per atom: 839
Crystal system: orthorhombic



Copy entry 6 word for word.
This record from Alexandria describes crystalline SrHoAs2 at its relaxed geometry. The functional is PBE-GGA.

Structure (POSCAR):
```
SrHoAs2
1.0
2.175 1.256 7.005
-2.175 1.256 7.005
0.000 -2.512 7.005
Sr Ho As
1 1 2
Direct
0.000 0.000 0.000 Sr
0.827 0.827 0.827 Ho
0.424 0.424 0.424 As
0.568 0.568 0.568 As
```

Output
Energy above the most stable polymorph in this dataset in meV per atom: 100
Crystal system: trigonal